Compound: CaGa2Sn
Source: Alexandria via LeMat-Bulk
Functional: PBE
Structure: optimized geometry

Cell lengths 8.0914, 8.0914, 6.5145 Å; angles 51.61, 51.61, 90.00 degrees
Closest atoms and distances in Å follow each position.
Fractional coordinates of all 8 atoms:
1 Ga 0.3750 0.3402 0.7500  2 Sn 2.78
2 Sn 0.0000 0.0000 0.0000  4 Ga 2.78
3 Ga 0.6598 0.1250 0.2500  2 Sn 2.78
4 Sn 0.7500 0.2500 0.5000  4 Ga 2.78
5 Ca 0.5000 0.5000 0.0000  2 Sn 3.11, 4 Ga 3.16
6 Ga 0.0902 0.6250 0.2500  2 Sn 2.78
7 Ca 0.2500 0.7500 0.5000  2 Sn 3.11, 4 Ga 3.16
8 Ga 0.8750 0.9098 0.7500  2 Sn 2.78

Output
Fermi-level density of states	3.2	states/eV per cell
E_form	-0.775	eV/f.u.
symmetry	No. 122
final energy	-3.21	eV/atom

=====

Compound: CaGa3Sn
Source: Alexandria via LeMat-Bulk
Functional: PBE
Structure: optimized geometry

Cell lengths 5.4820, 5.4820, 5.4820 Å; angles 90.00, 90.00, 90.00 degrees
Closest atoms and distances in Å follow each position.
Fractional coordinates of all 5 atoms:
1 Ca 0.0000 0.0000 0.0000  6 Ga 2.74
2 Ga 0.0000 0.5000 0.0000  2 Ca 2.74
3 Sn 0.5000 0.5000 0.5000  12 Ga 3.88
4 Ga 0.5000 0.0000 0.0000  2 Ca 2.74
5 Ga 0.0000 0.0000 0.5000  2 Ca 2.74

Output
Fermi-level density of states	3.6	states/eV per cell
E_form	3.312	eV/f.u.
symmetry	No. 221
final energy	-2.35	eV/atom

=====

Compound: CaGa4Sn
Source: Alexandria via LeMat-Bulk
Functional: PBE
Structure: optimized geometry

Cell lengths 4.3413, 8.4879, 15.7168 Å; angles 90.00, 90.00, 90.00 degrees
Closest atoms and distances in Å follow each position.
Fractional coordinates of all 24 atoms:
1 Ga 0.5000 0.1343 0.9742  3 Ga 2.42-2.57
2 Ga 0.5000 0.8657 0.0258  3 Ga 2.42-2.57
3 Ga 0.5000 0.6343 0.5258  3 Ga 2.42-2.57
4 Ga 0.5000 0.0069 0.2970  3 Ga 2.43-2.56
5 Sn 0.0000 0.6491 0.0884  10 Ga 2.98-3.16
6 Ga 0.5000 0.3070 0.3139  3 Ga 2.43-2.57
7 Sn 0.0000 0.3509 0.9116  10 Ga 2.98-3.16
8 Ga 0.5000 0.3902 0.0562  3 Ga 2.51-2.57
9 Ga 0.5000 0.8070 0.1861  3 Ga 2.43-2.57
10 Ca 0.0000 0.6246 0.3557  12 Ga 3.39-3.77
11 Ca 0.0000 0.3754 0.6443  12 Ga 3.39-3.77
12 Sn 0.0000 0.8509 0.5884  10 Ga 2.98-3.16
13 Ga 0.5000 0.4931 0.7970  3 Ga 2.43-2.56
14 Ga 0.5000 0.3657 0.4742  3 Ga 2.42-2.57
15 Ga 0.5000 0.6930 0.6861  3 Ga 2.43-2.57
16 Sn 0.0000 0.1491 0.4116  10 Ga 2.98-3.16
17 Ga 0.5000 0.1098 0.5562  3 Ga 2.51-2.57
18 Ca 0.0000 0.8754 0.8557  12 Ga 3.39-3.77
19 Ga 0.5000 0.9931 0.7030  3 Ga 2.43-2.56
20 Ga 0.5000 0.6098 0.9438  3 Ga 2.51-2.57
21 Ga 0.5000 0.1930 0.8139  3 Ga 2.43-2.57
22 Ca 0.0000 0.1246 0.1443  12 Ga 3.39-3.77
23 Ga 0.5000 0.5069 0.2030  3 Ga 2.43-2.56
24 Ga 0.5000 0.8902 0.4438  3 Ga 2.51-2.57

Output
Fermi-level density of states	9.4	states/eV per cell
E_form	-0.870	eV/f.u.
symmetry	No. 55
final energy	-3.16	eV/atom

=====

Compound: CaGa2Sn
Source: Alexandria via LeMat-Bulk
Functional: PBE
Structure: optimized geometry

Cell lengths 4.2486, 5.5716, 4.9190 Å; angles 108.54, 115.59, 90.00 degrees
Closest atoms and distances in Å follow each position.
Fractional coordinates of all 4 atoms:
1 Sn 0.0000 0.5000 0.0000  6 Ga 2.87-2.93
2 Ca 0.5000 0.0000 0.0000  6 Ga 3.16, 4 Sn 3.50
3 Ga 0.2608 0.3074 0.5215  3 Sn 2.87-2.93, 2 Ga 3.07, 3 Ca 3.16
4 Ga 0.7392 0.6926 0.4785  3 Sn 2.87-2.93, 2 Ga 3.07, 3 Ca 3.16

Output
Fermi-level density of states	2.5	states/eV per cell
E_form	-1.068	eV/f.u.
symmetry	No. 12
final energy	-3.28	eV/atom

=====

Compound: CaGa2Sn
Source: Alexandria via LeMat-Bulk
Functional: PBE
Structure: optimized geometry

Cell lengths 4.6228, 7.2585, 11.4822 Å; angles 90.00, 90.00, 90.00 degrees
Closest atoms and distances in Å follow each position.
Fractional coordinates of all 16 atoms:
1 Sn 0.7500 0.8290 0.4373  5 Ga 2.80-2.93
2 Ca 0.2500 0.6544 0.6442  7 Ga 3.15-3.43, 1 Sn 3.37
3 Ca 0.7500 0.8456 0.1442  7 Ga 3.15-3.43, 1 Sn 3.37
4 Sn 0.2500 0.1710 0.5627  5 Ga 2.80-2.93
5 Ga 0.2500 0.5189 0.1640  2 Ga 2.52-2.77
6 Ga 0.7500 0.4811 0.8360  2 Ga 2.52-2.77
7 Ga 0.7500 0.3596 0.6305  2 Ga 2.52-2.77, 2 Sn 2.80
8 Sn 0.2500 0.6710 0.9373  5 Ga 2.80-2.93
9 Ca 0.7500 0.3456 0.3558  7 Ga 3.15-3.43, 1 Sn 3.37
10 Ga 0.2500 0.1404 0.1305  2 Ga 2.52-2.77, 2 Sn 2.80
11 Ca 0.2500 0.1544 0.8558  7 Ga 3.15-3.43, 1 Sn 3.37
12 Ga 0.7500 0.9811 0.6640  2 Ga 2.52-2.77
13 Sn 0.7500 0.3290 0.0627  5 Ga 2.80-2.93
14 Ga 0.7500 0.8596 0.8695  2 Ga 2.52-2.77, 2 Sn 2.80
15 Ga 0.2500 0.0189 0.3360  2 Ga 2.52-2.77
16 Ga 0.2500 0.6404 0.3695  2 Ga 2.52-2.77, 2 Sn 2.80

Output
Fermi-level density of states	3.9	states/eV per cell
E_form	-1.402	eV/f.u.
symmetry	No. 62
final energy	-3.37	eV/atom

=====

Compound: CaGa4Sn
Source: Alexandria via LeMat-Bulk
Functional: PBE
Structure: optimized geometry

Cell lengths 5.6896, 5.6896, 5.6896 Å; angles 60.00, 60.00, 60.00 degrees
Closest atoms and distances in Å follow each position.
Fractional coordinates of all 6 atoms:
1 Ga 0.6250 0.1251 0.6250  6 Ga 2.84-2.85
2 Ga 0.6250 0.6250 0.6250  6 Ga 2.84-2.85
3 Sn 0.0000 0.0000 0.0000  12 Ga 3.34, 4 Ca 3.48
4 Ca 0.2500 0.2500 0.2500  12 Ga 3.34, 4 Sn 3.48
5 Ga 0.1251 0.6250 0.6250  6 Ga 2.84-2.85
6 Ga 0.6250 0.6250 0.1251  6 Ga 2.84-2.85

Output
Fermi-level density of states	2.7	states/eV per cell
E_form	-1.214	eV/f.u.
symmetry	No. 216
final energy	-3.22	eV/atom

=====

Compound: Ca3GaSn
Source: Alexandria via LeMat-Bulk
Functional: PBE
Structure: optimized geometry

Cell lengths 8.1557, 8.1673, 9.3535 Å; angles 106.69, 90.00, 90.00 degrees
Closest atoms and distances in Å follow each position.
Fractional coordinates of all 20 atoms:
1 Ca 0.5647 0.3445 0.6915  1 Sn 3.18, 2 Ga 3.24-3.34, 3 Ca 3.53-3.56
2 Sn 0.2692 0.9594 0.0729  2 Ga 2.87-3.01, 2 Ca 3.16-3.18
3 Ca 0.2595 0.5574 0.9455  2 Ga 3.02-3.14, 2 Sn 3.16-3.35
4 Ca 0.9353 0.8445 0.1915  1 Sn 3.18, 2 Ga 3.24-3.34, 3 Ca 3.53-3.56
5 Ca 0.7595 0.9426 0.5545  2 Ga 3.02-3.14, 2 Sn 3.16-3.35
6 Ca 0.2405 0.0574 0.4455  2 Ga 3.02-3.14, 2 Sn 3.16-3.35
7 Ca 0.0966 0.3306 0.2312  3 Ga 3.25-3.45, 3 Sn 3.25-3.41, 2 Ca 3.59-3.60
8 Ga 0.0875 0.7343 0.4818  2 Sn 2.87-3.01, 2 Ca 3.02-3.14
9 Sn 0.2308 0.4594 0.5729  2 Ga 2.87-3.01, 2 Ca 3.16-3.18
10 Ca 0.9034 0.6694 0.7688  3 Ga 3.25-3.45, 3 Sn 3.25-3.41, 2 Ca 3.59-3.60
11 Ca 0.4353 0.6555 0.3085  1 Sn 3.18, 2 Ga 3.24-3.34, 3 Ca 3.53-3.56
12 Ga 0.9125 0.2657 0.5182  2 Sn 2.87-3.01, 2 Ca 3.02-3.14
13 Ga 0.5875 0.7657 0.0182  2 Sn 2.87-3.01, 2 Ca 3.02-3.14
14 Ga 0.4125 0.2343 0.9818  2 Sn 2.87-3.01, 2 Ca 3.02-3.14
15 Ca 0.0647 0.1555 0.8085  1 Sn 3.18, 2 Ga 3.24-3.34, 3 Ca 3.53-3.56
16 Sn 0.7692 0.5406 0.4271  2 Ga 2.87-3.01, 2 Ca 3.16-3.18
17 Ca 0.7405 0.4426 0.0545  2 Ga 3.02-3.14, 2 Sn 3.16-3.35
18 Ca 0.4034 0.8306 0.7312  3 Ga 3.25-3.45, 3 Sn 3.25-3.41, 2 Ca 3.59-3.60
19 Ca 0.5966 0.1694 0.2688  3 Ga 3.25-3.45, 3 Sn 3.25-3.41, 2 Ca 3.59-3.60
20 Sn 0.7308 0.0406 0.9271  2 Ga 2.87-3.01, 2 Ca 3.16-3.18

Output
Fermi-level density of states	7.5	states/eV per cell
E_form	-2.150	eV/f.u.
symmetry	No. 14
final energy	-3.04	eV/atom

=====

Compound: CaGa3Sn3
Source: Alexandria via LeMat-Bulk
Functional: PBE
Structure: optimized geometry

Cell lengths 7.5873, 7.5873, 7.5873 Å; angles 90.00, 90.00, 90.00 degrees
Closest atoms and distances in Å follow each position.
Fractional coordinates of all 14 atoms:
1 Sn 0.0000 0.7500 0.5000  4 Ga 2.68
2 Sn 0.5000 0.0000 0.2500  4 Ga 2.68
3 Sn 0.7500 0.5000 0.0000  4 Ga 2.68
4 Ga 0.2500 0.0000 0.5000  4 Sn 2.68
5 Ga 0.7500 0.0000 0.5000  4 Sn 2.68
6 Sn 0.5000 0.0000 0.7500  4 Ga 2.68
7 Ga 0.0000 0.5000 0.7500  4 Sn 2.68
8 Sn 0.0000 0.2500 0.5000  4 Ga 2.68
9 Ga 0.0000 0.5000 0.2500  4 Sn 2.68
10 Ga 0.5000 0.2500 0.0000  4 Sn 2.68
11 Ca 0.0000 0.0000 0.0000  12 Sn 4.24, 12 Ga 4.24
12 Ca 0.5000 0.5000 0.5000  12 Sn 4.24, 12 Ga 4.24
13 Sn 0.2500 0.5000 0.0000  4 Ga 2.68
14 Ga 0.5000 0.7500 0.0000  4 Sn 2.68

Output
Fermi-level density of states	4.9	states/eV per cell
E_form	0.488	eV/f.u.
symmetry	No. 223
final energy	-3.23	eV/atom

=====

Compound: Ca2Ga2Sn
Source: Alexandria via LeMat-Bulk
Functional: PBE
Structure: optimized geometry

Cell lengths 4.8139, 4.8139, 6.9396 Å; angles 69.71, 69.71, 90.00 degrees
Closest atoms and distances in Å follow each position.
Fractional coordinates of all 5 atoms:
1 Ga 0.5965 0.5965 0.8070  1 Ga 2.33
2 Ca 0.7500 0.2500 0.5000  4 Ga 3.04, 4 Ca 3.40
3 Ga 0.4035 0.4035 0.1930  1 Ga 2.33
4 Sn 0.0000 0.0000 0.0000  8 Ga 3.60, 8 Ca 3.86
5 Ca 0.2500 0.7500 0.5000  4 Ga 3.04, 4 Ca 3.40

Output
Fermi-level density of states	2.6	states/eV per cell
E_form	-0.654	eV/f.u.
symmetry	No. 139
final energy	-2.94	eV/atom

=====

Compound: Ca2Ga2Sn
Source: Alexandria via LeMat-Bulk
Functional: PBE
Structure: optimized geometry

Cell lengths 3.5746, 4.5316, 7.8405 Å; angles 106.80, 90.00, 90.00 degrees
Closest atoms and distances in Å follow each position.
Fractional coordinates of all 5 atoms:
1 Sn 0.0000 0.0000 0.0000  2 Ga 3.08, 8 Ca 3.37
2 Ca 0.5000 0.6164 0.2328  6 Ga 3.18-3.22, 4 Sn 3.37, 1 Ca 3.50
3 Ca 0.5000 0.3836 0.7672  6 Ga 3.18-3.22, 4 Sn 3.37, 1 Ca 3.50
4 Ga 0.0000 0.7951 0.5902  2 Ga 2.64
5 Ga 0.0000 0.2049 0.4098  2 Ga 2.64

Output
Fermi-level density of states	2.3	states/eV per cell
E_form	-2.532	eV/f.u.
symmetry	No. 65
final energy	-3.32	eV/atom